[1]
Computed, not measured: crystalline LiPa2Br8 at its relaxed geometry at the PBE level of DFT.

Cell lengths 9.0225, 9.0225, 5.8550 Å; angles 90.00, 90.00, 120.00 degrees
With the nearest neighbours (Å) after each atom.
Element x y z (fractional)
Li 0.0000 0.0000 0.0000  6 Br 2.86
Pa 0.3333 0.6667 0.2314  5 Br 2.74-2.96
Pa 0.6667 0.3333 0.7686  5 Br 2.74-2.96
Br 0.1571 0.3162 0.2459  1 Pa 2.74, 1 Li 2.86
Br 0.1591 0.8429 0.2459  1 Pa 2.74, 1 Li 2.86
Br 0.3162 0.1591 0.7541  1 Pa 2.74, 1 Li 2.86
Br 0.3333 0.6667 0.7366  2 Pa 2.90-2.96
Br 0.6667 0.3333 0.2634  2 Pa 2.90-2.96
Br 0.6838 0.8409 0.2459  1 Pa 2.74, 1 Li 2.86
Br 0.8409 0.1571 0.7541  1 Pa 2.74, 1 Li 2.86
Br 0.8429 0.6838 0.7541  1 Pa 2.74, 1 Li 2.86

Output
The uncorrected formation energy comes out at -1.249 eV per atom. Its space group is P-3, No. 147.


[2]
Computed, not measured: crystalline Tb3Sc12Ta5 at its relaxed geometry at the PBE level of DFT.

Cell lengths 14.7453, 14.7453, 14.7453 Å; angles 109.47, 109.47, 109.47 degrees
With the nearest neighbours (Å) after each atom.
Element x y z (fractional)
Tb 0.1250 0.2500 0.3750  4 Sc 3.47
Tb 0.1250 0.3750 0.7500  4 Sc 3.47
Tb 0.2500 0.3750 0.1250  4 Sc 3.47
Tb 0.2500 0.8750 0.6250  4 Sc 3.47
Tb 0.3750 0.1250 0.2500  4 Sc 3.47
Tb 0.3750 0.7500 0.1250  4 Sc 3.47
Tb 0.6250 0.2500 0.8750  4 Sc 3.47
Tb 0.6250 0.8750 0.7500  4 Sc 3.47
Tb 0.7500 0.1250 0.3750  4 Sc 3.47
Tb 0.7500 0.6250 0.8750  4 Sc 3.47
Tb 0.8750 0.6250 0.2500  4 Sc 3.47
Tb 0.8750 0.7500 0.6250  4 Sc 3.47
Sc 0.0061 0.6890 0.0706  2 Ta 2.54-2.59
Sc 0.0061 0.8171 0.9355  2 Ta 2.54-2.59
Sc 0.0645 0.5706 0.8815  2 Ta 2.54-2.59
Sc 0.0645 0.9939 0.1829  2 Ta 2.54-2.59
Sc 0.0706 0.0061 0.6890  2 Ta 2.54-2.59
Sc 0.0706 0.5645 0.3815  2 Ta 2.54-2.59
Sc 0.1185 0.6829 0.6890  2 Ta 2.54-2.59
Sc 0.1185 0.9355 0.4294  2 Ta 2.54-2.59
Sc 0.1829 0.0645 0.9939  2 Ta 2.54-2.59
Sc 0.1829 0.6185 0.1890  2 Ta 2.54-2.59
Sc 0.1890 0.1829 0.6185  2 Ta 2.54-2.59
Sc 0.1890 0.5061 0.5706  2 Ta 2.54-2.59
Sc 0.3110 0.8815 0.3171  2 Ta 2.54-2.59
Sc 0.3110 0.9294 0.9939  2 Ta 2.54-2.59
Sc 0.3171 0.3110 0.8815  2 Ta 2.54-2.59
Sc 0.3171 0.5061 0.4355  2 Ta 2.54-2.59
Sc 0.3815 0.0706 0.5645  2 Ta 2.54-2.59
Sc 0.3815 0.8110 0.8171  2 Ta 2.54-2.59
Sc 0.4294 0.1185 0.9355  2 Ta 2.54-2.59
Sc 0.4294 0.8110 0.4939  2 Ta 2.54-2.59
Sc 0.4355 0.3171 0.5061  2 Ta 2.54-2.59
Sc 0.4355 0.6185 0.9294  2 Ta 2.54-2.59
Sc 0.4939 0.4294 0.8110  2 Ta 2.54-2.59
Sc 0.4939 0.5645 0.6829  2 Ta 2.54-2.59
Sc 0.5061 0.4355 0.3171  2 Ta 2.54-2.59
Sc 0.5061 0.5706 0.1890  2 Ta 2.54-2.59
Sc 0.5645 0.3815 0.0706  2 Ta 2.54-2.59
Sc 0.5645 0.6829 0.4939  2 Ta 2.54-2.59
Sc 0.5706 0.1890 0.5061  2 Ta 2.54-2.59
Sc 0.5706 0.8815 0.0645  2 Ta 2.54-2.59
Sc 0.6185 0.1890 0.1829  2 Ta 2.54-2.59
Sc 0.6185 0.9294 0.4355  2 Ta 2.54-2.59
Sc 0.6829 0.4939 0.5645  2 Ta 2.54-2.59
Sc 0.6829 0.6890 0.1185  2 Ta 2.54-2.59
Sc 0.6890 0.0706 0.0061  2 Ta 2.54-2.59
Sc 0.6890 0.1185 0.6829  2 Ta 2.54-2.59
Sc 0.8110 0.4939 0.4294  2 Ta 2.54-2.59
Sc 0.8110 0.8171 0.3815  2 Ta 2.54-2.59
Sc 0.8171 0.3815 0.8110  2 Ta 2.54-2.59
Sc 0.8171 0.9355 0.0061  2 Ta 2.54-2.59
Sc 0.8815 0.0645 0.5706  2 Ta 2.54-2.59
Sc 0.8815 0.3171 0.3110  2 Ta 2.54-2.59
Sc 0.9294 0.4355 0.6185  2 Ta 2.54-2.59
Sc 0.9294 0.9939 0.3110  2 Ta 2.54-2.59
Sc 0.9355 0.0061 0.8171  2 Ta 2.54-2.59
Sc 0.9355 0.4294 0.1185  2 Ta 2.54-2.59
Sc 0.9939 0.1829 0.0645  2 Ta 2.54-2.59
Sc 0.9939 0.3110 0.9294  2 Ta 2.54-2.59
Ta 0.0000 0.0000 0.0000  6 Sc 2.59
Ta 0.0000 0.0000 0.5000  6 Sc 2.59
Ta 0.0000 0.5000 0.0000  6 Sc 2.59
Ta 0.0000 0.5000 0.5000  6 Sc 2.59
Ta 0.1250 0.7500 0.8750  4 Sc 2.54
Ta 0.1250 0.8750 0.2500  4 Sc 2.54
Ta 0.2500 0.1250 0.8750  4 Sc 2.54
Ta 0.2500 0.6250 0.3750  4 Sc 2.54
Ta 0.3750 0.2500 0.6250  4 Sc 2.54
Ta 0.3750 0.6250 0.7500  4 Sc 2.54
Ta 0.5000 0.0000 0.0000  6 Sc 2.59
Ta 0.5000 0.0000 0.5000  6 Sc 2.59
Ta 0.5000 0.5000 0.0000  6 Sc 2.59
Ta 0.5000 0.5000 0.5000  6 Sc 2.59
Ta 0.6250 0.3750 0.2500  4 Sc 2.54
Ta 0.6250 0.7500 0.3750  4 Sc 2.54
Ta 0.7500 0.3750 0.6250  4 Sc 2.54
Ta 0.7500 0.8750 0.1250  4 Sc 2.54
Ta 0.8750 0.1250 0.7500  4 Sc 2.54
Ta 0.8750 0.2500 0.1250  4 Sc 2.54

Output
For the formation enthalpy at 0 K, the calculation gives 27.1 eV/f.u. Its space group is Ia-3d, No. 230.


[3]
Computed, not measured: crystalline CrCu2W at its relaxed geometry at the PBE level of DFT.

Cell lengths 2.6558, 2.6558, 26.3386 Å; angles 90.00, 90.00, 120.00 degrees
With the nearest neighbours (Å) after each atom.
Element x y z (fractional)
Cr 0.0000 0.0000 0.0000  3 Cu 2.60, 6 Cr 2.66, 3 W 2.78
Cr 0.3333 0.6667 0.6667  3 Cu 2.60, 6 Cr 2.66, 3 W 2.78
Cr 0.6667 0.3333 0.3333  3 Cu 2.60, 6 Cr 2.66, 3 W 2.78
Cu 0.0000 0.0000 0.2538  9 Cu 2.58-2.66, 3 Cr 2.60
Cu 0.0000 0.0000 0.5083  9 Cu 2.58-2.66, 3 W 2.76
Cu 0.3333 0.6667 0.1749  9 Cu 2.58-2.66, 3 W 2.76
Cu 0.3333 0.6667 0.9204  9 Cu 2.58-2.66, 3 Cr 2.60
Cu 0.6667 0.3333 0.5871  9 Cu 2.58-2.66, 3 Cr 2.60
Cu 0.6667 0.3333 0.8416  9 Cu 2.58-2.66, 3 W 2.76
W 0.0000 0.0000 0.7545  6 W 2.66, 3 Cu 2.76, 3 Cr 2.78
W 0.3333 0.6667 0.4212  6 W 2.66, 3 Cu 2.76, 3 Cr 2.78
W 0.6667 0.3333 0.0878  6 W 2.66, 3 Cu 2.76, 3 Cr 2.78

Output
For the formation enthalpy at 0 K, the calculation gives 1.5 eV/f.u. The calculation puts the energy relative to the lowest polymorph listed for this composition at 0.126 eV per atom. Its space group is R3m, No. 160.


So what do the calculations give for total energy? Going down the list: -4.366, -6.102, -7.320 eV per atom.